(1)
## BaTiSe3 (SCAN)

Data for BaTiSe3 at its PBEsol-relaxed geometry.

a b c (Å): 6.9629 6.9629 5.9185
angles (deg): 90.00 90.00 120.00
Closest atoms and distances in Å follow each position.
Fractional positions:
Ba  0.3333  0.6667  0.2500  12 Se 3.48-3.54
Ba  0.6667  0.3333  0.7500  12 Se 3.48-3.54
Ti  0.0000  0.0000  0.0000  6 Se 2.54
Ti  0.0000  0.0000  0.5000  6 Se 2.54
Se  0.1715  0.3431  0.7500  2 Ti 2.54
Se  0.1715  0.8285  0.7500  2 Ti 2.54
Se  0.3431  0.1715  0.2500  2 Ti 2.54
Se  0.6569  0.8285  0.7500  2 Ti 2.54
Se  0.8285  0.1715  0.2500  2 Ti 2.54
Se  0.8285  0.6569  0.2500  2 Ti 2.54

Computed properties:
raw formation energy = -1.687 eV per atom
DOS(E_F) = 1.613 states/eV/f.u.
total energy = -248.5 eV for the cell shown
SG = P6_3/mmc, No. 194



(2)
## Li2PPb (SCAN)

Data for Li2PPb at its PBEsol-relaxed geometry.

a b c (Å): 4.6393 4.6393 4.6393
angles (deg): 60.00 60.00 60.00
Closest atoms and distances in Å follow each position.
Fractional positions:
Li  0.2500  0.2500  0.2500  4 Pb 2.84, 4 P 2.84
Li  0.7500  0.7500  0.7500  4 Pb 2.84, 4 P 2.84
P  0.0000  0.0000  0.0000  8 Li 2.84
Pb  0.5000  0.5000  0.5000  8 Li 2.84

Computed properties:
ΔH_f (0 K) = -1.07 eV per formula unit
DOS(E_F) = 1.298 states/eV/f.u.
total energy = -92.0 eV for the cell shown
excess energy over the best structure of this formula in the dataset = 116 meV per atom
SG = Fm-3m, No. 225



(3)
## Zr2CoTeP (SCAN)

Data for Zr2CoTeP at its PBEsol-relaxed geometry.

a b c (Å): 4.9684 4.9684 3.9407
angles (deg): 90.00 90.00 90.00
Closest atoms and distances in Å follow each position.
Fractional positions:
Zr  0.0000  0.5000  0.0000  2 Co 2.48
Zr  0.5000  0.0000  0.0000  2 Co 2.48
Co  0.0000  0.0000  0.0000  2 P 1.97
Te  0.5000  0.5000  0.5000  8 Zr 3.17, 4 P 3.51
P  0.0000  0.0000  0.5000  2 Co 1.97

Computed properties:
raw formation energy = -0.480 eV per atom
DOS(E_F) = 2.467 states/eV/f.u.
total energy = -128.7 eV for the cell shown
SG = P4/mmm, No. 123



(4)
## RbTe2IN (SCAN)

Data for RbTe2IN at its PBEsol-relaxed geometry.

a b c (Å): 4.6039 4.6039 7.8136
angles (deg): 90.00 90.00 90.00
Closest atoms and distances in Å follow each position.
Fractional positions:
Rb  0.0000  0.0000  0.0000  4 I 3.26
Te  0.0000  0.5000  0.5000  2 N 2.30
Te  0.5000  0.0000  0.5000  2 N 2.30
I  0.5000  0.5000  0.0000  4 Rb 3.26
N  0.5000  0.5000  0.5000  4 Te 2.30

Computed properties:
raw formation energy = 0.211 eV per atom
DOS(E_F) = 2.697 states/eV/f.u.
total energy = -140.2 eV for the cell shown
SG = P4/mmm, No. 123



(5)
## TlSbPb (SCAN)

Data for TlSbPb at its PBEsol-relaxed geometry.

a b c (Å): 5.5681 5.5681 3.2216
angles (deg): 90.00 90.00 120.00
Closest atoms and distances in Å follow each position.
Fractional positions:
Tl  0.0000  0.0000  0.0000  2 Tl 3.22, 6 Sb 3.59-3.60, 6 Pb 3.59-3.60
Sb  0.3333  0.6667  0.5032  3 Pb 3.21, 2 Sb 3.22, 6 Tl 3.59-3.60
Pb  0.6667  0.3333  0.5018  3 Sb 3.21, 2 Pb 3.22, 6 Tl 3.59-3.60

Computed properties:
raw formation energy = 0.005 eV per atom
DOS(E_F) = 1.206 states/eV/f.u.
total energy = -185.4 eV for the cell shown
excess energy over the best structure of this formula in the dataset = 3 meV per atom
SG = P3m1, No. 156



(6)
## Ba2SrTl (SCAN)

Data for Ba2SrTl at its PBEsol-relaxed geometry.

a b c (Å): 4.1234 4.1234 10.7602
angles (deg): 90.00 90.00 90.00
Closest atoms and distances in Å follow each position.
Fractional positions:
Ba  0.0000  0.0000  0.0000  4 Tl 3.61, 1 Sr 3.97
Ba  0.5000  0.5000  0.3261  8 Ba 4.12-4.56, 4 Sr 4.39
Sr  0.0000  0.0000  0.6311  4 Tl 3.45
Tl  0.5000  0.5000  0.8024  4 Sr 3.45, 4 Ba 3.61

Computed properties:
ΔH_f (0 K) = -1.23 eV per formula unit
DOS(E_F) = 3.855 states/eV/f.u.
total energy = -175.0 eV for the cell shown
excess energy over the best structure of this formula in the dataset = 9 meV per atom
SG = P4mm, No. 99



(7)
## Ta2NiOs (SCAN)

Data for Ta2NiOs at its PBEsol-relaxed geometry.

a b c (Å): 4.6177 4.6177 4.6177
angles (deg): 127.80 127.80 76.95
Closest atoms and distances in Å follow each position.
Fractional positions:
Ta  0.2500  0.7500  0.5000  4 Ni 2.72, 4 Os 2.72, 4 Ta 2.87
Ta  0.7500  0.2500  0.5000  4 Ni 2.72, 4 Os 2.72, 4 Ta 2.87
Ni  0.0000  0.0000  0.0000  8 Ta 2.72, 4 Os 2.87
Os  0.5000  0.5000  0.0000  8 Ta 2.72, 4 Ni 2.87

Computed properties:
ΔH_f (0 K) = -1.26 eV per formula unit
DOS(E_F) = 2.475 states/eV/f.u.
total energy = -222.5 eV for the cell shown
excess energy over the best structure of this formula in the dataset = 0 meV per atom
SG = I4/mmm, No. 139



(8)
## Ca2AlRh2 (SCAN)

Data for Ca2AlRh2 at its PBEsol-relaxed geometry.

a b c (Å): 6.5374 6.5374 4.5456
angles (deg): 90.00 90.00 90.00
Closest atoms and distances in Å follow each position.
Fractional positions:
Ca  0.1734  0.3266  0.0000  6 Rh 2.86-3.07
Ca  0.3266  0.8266  0.0000  6 Rh 2.86-3.07
Ca  0.6734  0.1734  0.0000  6 Rh 2.86-3.07
Ca  0.8266  0.6734  0.0000  6 Rh 2.86-3.07
Al  0.0000  0.0000  0.5000  4 Rh 2.53
Al  0.5000  0.5000  0.5000  4 Rh 2.53
Rh  0.1397  0.6397  0.5000  2 Al 2.53, 1 Rh 2.58
Rh  0.3603  0.1397  0.5000  2 Al 2.53, 1 Rh 2.58
Rh  0.6397  0.8603  0.5000  2 Al 2.53, 1 Rh 2.58
Rh  0.8603  0.3603  0.5000  2 Al 2.53, 1 Rh 2.58

Computed properties:
ΔH_f (0 K) = -3.28 eV per formula unit
DOS(E_F) = 1.116 states/eV/f.u.
total energy = -195.8 eV for the cell shown
SG = P4/mbm, No. 127



(9)
## ReNiHg2 (SCAN)

Data for ReNiHg2 at its PBEsol-relaxed geometry.

a b c (Å): 2.8488 2.7987 8.4467
angles (deg): 90.00 99.63 90.00
Closest atoms and distances in Å follow each position.
Fractional positions:
Re  0.0000  0.0000  0.0000  4 Ni 2.50
Ni  0.5893  0.5000  0.1801  4 Re 2.50, 4 Hg 2.79
Hg  0.2045  0.0000  0.4143  4 Ni 2.79, 6 Hg 2.80-3.02
Hg  0.3672  0.5000  0.7358  6 Hg 2.80-3.02, 4 Re 2.97

Computed properties:
ΔH_f (0 K) = 1.69 eV per formula unit
DOS(E_F) = 2.557 states/eV/f.u.
total energy = -221.9 eV for the cell shown
excess energy over the best structure of this formula in the dataset = 0 meV per atom
SG = Pm, No. 6



(10)
## LuZn12 (SCAN)

Data for LuZn12 at its PBEsol-relaxed geometry.

a b c (Å): 6.6501 6.6501 6.6501
angles (deg): 98.19 98.19 135.66
Closest atoms and distances in Å follow each position.
Fractional positions:
Lu  0.0000  0.0000  0.0000  20 Zn 3.07-3.33
Zn  0.0000  0.0000  0.5000  10 Zn 2.51-2.67
Zn  0.0000  0.3530  0.3530  9 Zn 2.56-2.80
Zn  0.0000  0.5000  0.0000  10 Zn 2.51-2.67
Zn  0.0000  0.6470  0.6470  9 Zn 2.56-2.80
Zn  0.2860  0.5000  0.7860  10 Zn 2.53-2.80
Zn  0.3530  0.0000  0.3530  9 Zn 2.56-2.80
Zn  0.5000  0.0000  0.0000  10 Zn 2.51-2.67
Zn  0.5000  0.2860  0.7860  10 Zn 2.53-2.80
Zn  0.5000  0.5000  0.5000  10 Zn 2.51-2.67
Zn  0.5000  0.7140  0.2140  10 Zn 2.53-2.80
Zn  0.6470  0.0000  0.6470  9 Zn 2.56-2.80
Zn  0.7140  0.5000  0.2140  10 Zn 2.53-2.80

Computed properties:
ΔH_f (0 K) = -2.61 eV per formula unit
DOS(E_F) = 2.393 states/eV/f.u.
total energy = -220.1 eV for the cell shown
SG = I4/mmm, No. 139



(11)
## Ga2Te2MoO10 (SCAN)

Data for Ga2Te2MoO10 at its PBEsol-relaxed geometry.

a b c (Å): 8.8054 6.0493 14.7706
angles (deg): 90.00 90.00 90.00
Closest atoms and distances in Å follow each position.
Fractional positions:
Ga  0.0016  0.0031  0.1467  6 O 1.93-2.07
Ga  0.0016  0.4969  0.1467  6 O 1.93-2.07
Ga  0.4984  0.5031  0.6467  6 O 1.93-2.07
Ga  0.4984  0.9969  0.6467  6 O 1.93-2.07
Ga  0.5016  0.0031  0.3533  6 O 1.93-2.07
Ga  0.5016  0.4969  0.3533  6 O 1.93-2.07
Ga  0.9984  0.5031  0.8533  6 O 1.93-2.07
Ga  0.9984  0.9969  0.8533  6 O 1.93-2.07
Te  0.1831  0.7500  0.3195  3 O 1.93-1.95
Te  0.2337  0.2500  0.4942  3 O 1.91
Te  0.2663  0.7500  0.9942  3 O 1.91
Te  0.3169  0.2500  0.8195  3 O 1.93-1.95
Te  0.6831  0.7500  0.1805  3 O 1.93-1.95
Te  0.7337  0.2500  0.0058  3 O 1.91
Te  0.7663  0.7500  0.5058  3 O 1.91
Te  0.8169  0.2500  0.6805  3 O 1.93-1.95
Mo  0.1825  0.7500  0.6627  3 O 1.73-1.83
Mo  0.3175  0.2500  0.1627  3 O 1.73-1.83
Mo  0.6825  0.7500  0.8373  3 O 1.73-1.83
Mo  0.8175  0.2500  0.3373  3 O 1.73-1.83
O  0.0898  0.7500  0.7733  1 Mo 1.83
O  0.0958  0.7500  0.0746  1 Te 1.91, 2 Ga 2.04
O  0.0995  0.2500  0.7945  1 Te 1.95, 2 Ga 1.97
O  0.1006  0.5272  0.6072  1 Mo 1.73
O  0.1006  0.9728  0.6072  1 Mo 1.73
O  0.1186  0.2500  0.1009  2 Ga 1.94, 1 Mo 1.98
O  0.1638  0.5098  0.2347  1 Te 1.93, 1 Ga 1.93
O  0.1638  0.9902  0.2347  1 Te 1.93, 1 Ga 1.93
O  0.1849  0.5134  0.9234  1 Te 1.91, 1 Ga 1.94
O  0.1849  0.9866  0.9234  1 Te 1.91, 1 Ga 1.94
O  0.3151  0.0134  0.4234  1 Te 1.91, 1 Ga 1.94
O  0.3151  0.4866  0.4234  1 Te 1.91, 1 Ga 1.94
O  0.3362  0.0098  0.7347  1 Te 1.93, 1 Ga 1.93
O  0.3362  0.4902  0.7347  1 Te 1.93, 1 Ga 1.93
O  0.3814  0.7500  0.6009  2 Ga 1.94, 1 Mo 1.98
O  0.3994  0.0272  0.1072  1 Mo 1.73
O  0.3994  0.4728  0.1072  1 Mo 1.73
O  0.4005  0.7500  0.2945  1 Te 1.95, 2 Ga 1.97
O  0.4042  0.2500  0.5746  1 Te 1.91, 2 Ga 2.04
O  0.4102  0.2500  0.2733  1 Mo 1.83
O  0.5898  0.7500  0.7267  1 Mo 1.83
O  0.5958  0.7500  0.4254  1 Te 1.91, 2 Ga 2.04
O  0.5995  0.2500  0.7055  1 Te 1.95, 2 Ga 1.97
O  0.6006  0.5272  0.8928  1 Mo 1.73
O  0.6006  0.9728  0.8928  1 Mo 1.73
O  0.6186  0.2500  0.3991  2 Ga 1.94, 1 Mo 1.98
O  0.6638  0.5098  0.2653  1 Te 1.93, 1 Ga 1.93
O  0.6638  0.9902  0.2653  1 Te 1.93, 1 Ga 1.93
O  0.6849  0.5134  0.5766  1 Te 1.91, 1 Ga 1.94
O  0.6849  0.9866  0.5766  1 Te 1.91, 1 Ga 1.94
O  0.8151  0.0134  0.0766  1 Te 1.91, 1 Ga 1.94
O  0.8151  0.4866  0.0766  1 Te 1.91, 1 Ga 1.94
O  0.8362  0.0098  0.7653  1 Te 1.93, 1 Ga 1.93
O  0.8362  0.4902  0.7653  1 Te 1.93, 1 Ga 1.93
O  0.8814  0.7500  0.8991  2 Ga 1.94, 1 Mo 1.98
O  0.8994  0.0272  0.3928  1 Mo 1.73
O  0.8994  0.4728  0.3928  1 Mo 1.73
O  0.9005  0.7500  0.2055  1 Te 1.95, 2 Ga 1.97
O  0.9042  0.2500  0.9254  1 Te 1.91, 2 Ga 2.04
O  0.9102  0.2500  0.2267  1 Mo 1.83

Computed properties:
raw formation energy = -1.697 eV per atom
DOS(E_F) = 0.000 states/eV/f.u.
total energy = -919.4 eV for the cell shown
SG = Pnma, No. 62



(12)
## V6O7F5 (SCAN)

Data for V6O7F5 at its PBEsol-relaxed geometry.

a b c (Å): 8.7274 4.6586 4.6586
angles (deg): 85.63 90.00 90.00
Closest atoms and distances in Å follow each position.
Fractional positions:
V  0.0000  0.0000  0.0000  5 O 1.87-1.96
V  0.1571  0.5379  0.5379  3 O 1.88-1.89, 2 F 2.01-2.02
V  0.3318  0.0273  0.0273  4 O 1.92-1.94, 2 F 2.03-2.04
V  0.5000  0.5239  0.5239  2 O 1.89, 4 F 2.01-2.02
V  0.6682  0.0273  0.0273  4 O 1.92-1.94, 2 F 2.03-2.04
V  0.8429  0.5379  0.5379  3 O 1.88-1.89, 2 F 2.01-2.02
O  0.0000  0.7259  0.7259  3 V 1.87-1.88
O  0.1684  0.2269  0.8210  3 V 1.89-1.96
O  0.1684  0.8210  0.2269  3 V 1.89-1.96
O  0.5000  0.2287  0.8266  3 V 1.89-1.94
O  0.5000  0.8266  0.2287  3 V 1.89-1.94
O  0.8316  0.2269  0.8210  3 V 1.89-1.96
O  0.8316  0.8210  0.2269  3 V 1.89-1.96
F  0.0000  0.3217  0.3217  3 V 2.02-2.20
F  0.3312  0.3246  0.3246  3 V 2.01-2.11
F  0.3327  0.7291  0.7291  3 V 2.01-2.04
F  0.6673  0.7291  0.7291  3 V 2.01-2.04
F  0.6688  0.3246  0.3246  3 V 2.01-2.11

Computed properties:
raw formation energy = -2.859 eV per atom
DOS(E_F) = 8.216 states/eV/f.u.
total energy = -217.7 eV for the cell shown
excess energy over the best structure of this formula in the dataset = 29 meV per atom
SG = Amm2, No. 38